## Sc4FeCu (PBE-GGA)

Data for a relaxed structure of Sc4FeCu.

Its density of states at the Fermi level is 0.7778 states/eV/atom. The calculation puts the calculated volume at 116.35 Å³ per cell. The calculation puts the polymorph energy (0 for the lowest one) at 0 meV/atom. Its uncorrected energy is -38.63 eV per cell. As for the formation enthalpy at 0 K: -0.125 eV/atom. The theoretical density comes out at 4.27 g/cm³. The value obtained for the spin magnetization is 0.0 Bohr magnetons per cell.

It has space group P4/mmm (No. 123), with a = 3.1764 Å, b = 3.1764 Å, c = 11.5322 Å, α = 90.00°, β = 90.00° and γ = 90.00°. The distinct sites, in fractional coordinates, are Sc at (0.0000, 0.0000, 0.1287), Sc at (0.5000, 0.5000, 0.3573), Fe at (0.5000, 0.5000, 0.0000) and Cu at (0.0000, 0.0000, 0.5000).